1.
The following is a DFT calculation (PBE) of a geometry-optimized HoTmSn2Os structure.

Values from the calculation:
M_tot	0.007	μB/cell
calculated total energy	-6.150	eV per atom

Structure (POSCAR):
```
HoTmSn2Os
1.0
5.4377 -2.2099 0.0000
5.4377 2.2099 0.0000
-4.6107 0.0000 9.9355
Ho Tm Sn Os
2 2 4 2
Direct
0.1860 0.1860 0.1296
0.8140 0.8140 0.8704
0.0014 0.0014 0.6704
0.9986 0.9986 0.3296
0.3447 0.3447 0.4509
0.4662 0.4662 0.1151
0.5338 0.5338 0.8849
0.6553 0.6553 0.5491
0.2812 0.2812 0.6750
0.7188 0.7188 0.3250
```

---

2.
The following is a DFT calculation (PBE) of a geometry-optimized Ho7Te2Os2 structure.

Values from the calculation:
M_tot	0.713	μB/cell
calculated total energy	-6.194	eV per atom

Structure (POSCAR):
```
Ho7Te2Os2
1.0
-1.9831 7.8678 4.6514
1.9831 -7.8678 4.6514
1.9831 7.8678 -4.6514
Ho Te Os
7 2 2
Direct
0.0000 0.0000 0.0000
0.2845 0.4178 0.8668
0.3137 0.6280 0.6856
0.5510 0.4178 0.1332
0.6136 0.2634 0.3502
0.9132 0.2634 0.6498
0.9424 0.6280 0.3144
0.2637 0.7637 0.5000
0.6661 0.6661 0.0000
0.1696 0.9310 0.2386
0.6924 0.9310 0.7614
```

---

3.
The following is a DFT calculation (PBE) of a geometry-optimized Ho5Te3Os structure.

Values from the calculation:
M_tot	0.064	μB/cell
ΔE to the lowest computed polymorph	0.0	meV/atom
calculated total energy	-5.410	eV per atom

Structure (POSCAR):
```
Ho5Te3Os
1.0
8.6624 0.0000 0.0000
-4.3312 7.5019 0.0000
0.0000 0.0000 3.7635
Ho Te Os
5 3 1
Direct
0.0000 0.2294 0.0000
0.2294 0.0000 0.0000
0.3333 0.6667 0.0000
0.6667 0.3333 0.0000
0.7706 0.7706 0.0000
0.0000 0.5670 0.5000
0.4330 0.4330 0.5000
0.5670 0.0000 0.5000
0.0000 0.0000 0.5000
```

---

4.
The following is a DFT calculation (PBE) of a geometry-optimized Ho5Te3Os structure.

Values from the calculation:
M_tot	0.015	μB/cell
ΔE to the lowest computed polymorph	202.2	meV/atom
calculated total energy	-5.208	eV per atom

Structure (POSCAR):
```
Ho5Te3Os
1.0
8.1217 0.0000 0.0000
-4.0609 7.0336 0.0000
0.0000 0.0000 4.2072
Ho Te Os
5 3 1
Direct
0.0000 0.6626 0.0000
0.3333 0.6667 0.5000
0.3374 0.3374 0.0000
0.6626 0.0000 0.0000
0.6667 0.3333 0.5000
0.0000 0.2562 0.5000
0.2562 0.0000 0.5000
0.7438 0.7438 0.5000
0.0000 0.0000 0.0000
```

---

5.
The following is a DFT calculation (PBE) of a geometry-optimized Ho3Tm3Te2Os structure.

Values from the calculation:
M_tot	0.014	μB/cell
ΔE to the lowest computed polymorph	38.8	meV/atom
calculated total energy	-5.655	eV per atom

Structure (POSCAR):
```
Ho3Tm3Te2Os
1.0
8.2372 0.0000 0.0000
-4.1186 7.1336 0.0000
0.0000 0.0000 4.0269
Ho Tm Te Os
3 3 2 1
Direct
0.0000 0.2412 0.0000
0.2412 0.0000 0.0000
0.7588 0.7588 0.0000
0.0000 0.6138 0.5000
0.3862 0.3862 0.5000
0.6138 0.0000 0.5000
0.3333 0.6667 0.0000
0.6667 0.3333 0.0000
0.0000 0.0000 0.5000
```

---

6.
The following is a DFT calculation (PBE) of a geometry-optimized Ho3Tm3Te2Os structure.

Values from the calculation:
M_tot	0.005	μB/cell
ΔE to the lowest computed polymorph	0.0	meV/atom
calculated total energy	-5.694	eV per atom

Structure (POSCAR):
```
Ho3Tm3Te2Os
1.0
8.2107 0.0000 0.0000
-4.1053 7.1107 0.0000
0.0000 0.0000 4.0390
Ho Tm Te Os
3 3 2 1
Direct
0.0000 0.6113 0.0000
0.3887 0.3887 0.0000
0.6113 0.0000 0.0000
0.0000 0.2378 0.5000
0.2378 0.0000 0.5000
0.7622 0.7622 0.5000
0.3333 0.6667 0.5000
0.6667 0.3333 0.5000
0.0000 0.0000 0.0000
```

---

7.
The following is a DFT calculation (PBE) of a geometry-optimized Ho3Zr3Te2Os structure.

Values from the calculation:
M_tot	0.011	μB/cell
ΔE to the lowest computed polymorph	209.4	meV/atom
calculated total energy	-6.796	eV per atom

Structure (POSCAR):
```
Ho3Zr3Te2Os
1.0
8.0973 0.0000 0.0000
-4.0486 7.0124 0.0000
0.0000 0.0000 3.7609
Ho Zr Te Os
3 3 2 1
Direct
0.0000 0.7528 0.0000
0.2472 0.2472 0.0000
0.7528 0.0000 0.0000
0.0000 0.4022 0.5000
0.4022 0.0000 0.5000
0.5978 0.5978 0.5000
0.3333 0.6667 0.0000
0.6667 0.3333 0.0000
0.0000 0.0000 0.5000
```

---

8.
The following is a DFT calculation (PBE) of a geometry-optimized Ho3Zr3Te2Os structure.

Values from the calculation:
M_tot	0.126	μB/cell
ΔE to the lowest computed polymorph	0.0	meV/atom
calculated total energy	-7.006	eV per atom

Structure (POSCAR):
```
Ho3Zr3Te2Os
1.0
8.0982 0.0000 0.0000
-4.0491 7.0133 0.0000
0.0000 0.0000 3.8196
Ho Zr Te Os
3 3 2 1
Direct
0.0000 0.3987 0.0000
0.3987 0.0000 0.0000
0.6013 0.6013 0.0000
0.0000 0.7597 0.5000
0.2403 0.2403 0.5000
0.7597 0.0000 0.5000
0.3333 0.6667 0.5000
0.6667 0.3333 0.5000
0.0000 0.0000 0.0000
```

---

> What is the M_tot in the second record?

0.713 μB/cell